# 1
# AcPuGaPt | Alexandria | PBE | relaxed
# * ΔH_f (0 K): -0.511 eV/atom
# * total energy: -7.388 eV per atom
# * total magnetic moment: 5.5 μB per formula unit
# * Fermi-level density of states: 2.853 states/eV/atom
data_AcPuGaPt
_cell_length_a 7.4232
_cell_length_b 7.4232
_cell_length_c 7.4232
_cell_angle_alpha 90.00
_cell_angle_beta 90.00
_cell_angle_gamma 90.00
_symmetry_space_group_name_H-M 'F -4 3 m'
_symmetry_Int_Tables_number 216
_symmetry_space_group_name_Hall 'F -4 2 3'
loop_
_atom_site_label
_atom_site_type_symbol
_atom_site_fract_x
_atom_site_fract_y
_atom_site_fract_z
Ac1 Ac 0.0000 0.0000 0.0000
Pu1 Pu 0.0000 0.0000 0.5000
Ga1 Ga 0.2500 0.2500 0.7500
Pt1 Pt 0.2500 0.2500 0.2500

***

# 2
# Ac2PuGa4Pt3 | Alexandria | PBE | relaxed
# * ΔH_f (0 K): -0.767 eV/atom
# * total energy: -6.045 eV per atom
# * total magnetic moment: 5.7 μB per formula unit
# * Fermi-level density of states: 1.625 states/eV/atom
data_Ac2PuGa4Pt3
_cell_length_a 4.4108
_cell_length_b 4.4108
_cell_length_c 11.5613
_cell_angle_alpha 90.00
_cell_angle_beta 90.00
_cell_angle_gamma 90.00
_symmetry_space_group_name_H-M 'P -4 m 2'
_symmetry_Int_Tables_number 115
_symmetry_space_group_name_Hall 'P -4 -2'
loop_
_atom_site_label
_atom_site_type_symbol
_atom_site_fract_x
_atom_site_fract_y
_atom_site_fract_z
Ac1 Ac 0.0000 0.5000 0.2303
Pu1 Pu 0.0000 0.0000 0.5000
Ga1 Ga 0.0000 0.0000 0.0000
Ga2 Ga 0.0000 0.5000 0.6653
Ga3 Ga 0.5000 0.5000 0.0000
Pt1 Pt 0.0000 0.5000 0.8821
Pt2 Pt 0.5000 0.5000 0.5000